## PmNdSnTe (GGA-PBE)

Data for a relaxed PmNdSnTe crystal.

a = 7.7886 Å, b = 7.7886 Å, c = 7.7886 Å
α = 90.00°, β = 90.00°, γ = 90.00°
Sites, in units of the cell vectors:
Pm: 0.0000 0.0000 0.0000
Pm: 0.0000 0.5000 0.5000
Pm: 0.5000 0.0000 0.5000
Pm: 0.5000 0.5000 0.0000
Nd: 0.0000 0.0000 0.5000
Nd: 0.0000 0.5000 0.0000
Nd: 0.5000 0.0000 0.0000
Nd: 0.5000 0.5000 0.5000
Sn: 0.2500 0.2500 0.2500
Sn: 0.2500 0.7500 0.7500
Sn: 0.7500 0.2500 0.7500
Sn: 0.7500 0.7500 0.2500
Te: 0.2500 0.2500 0.7500
Te: 0.2500 0.7500 0.2500
Te: 0.7500 0.2500 0.2500
Te: 0.7500 0.7500 0.7500

* SG: F-43m (216)
* formation energy (no corrections): -0.85 eV/atom
* final energy: -80.29 eV/cell
* DOS at the Fermi energy: 13.41 states/eV per cell



## FeRhAu (GGA-PBE)

Data for a relaxed FeRhAu crystal.

a = 3.9696 Å, b = 11.2896 Å, c = 4.0043 Å
α = 90.00°, β = 90.00°, γ = 90.00°
Sites, in units of the cell vectors:
Fe: 0.0000 0.2492 0.2500
Fe: 0.0000 0.7508 0.7500
Fe: 0.5000 0.2508 0.7500
Fe: 0.5000 0.7492 0.2500
Rh: 0.0000 0.3999 0.7500
Rh: 0.0000 0.6001 0.2500
Rh: 0.5000 0.1001 0.2500
Rh: 0.5000 0.8999 0.7500
Au: 0.0000 0.0890 0.7500
Au: 0.0000 0.9110 0.2500
Au: 0.5000 0.4110 0.2500
Au: 0.5000 0.5890 0.7500

* SG: Cmcm (63)
* energy of formation from the pure elements: 0.03 eV/atom
* final energy: -75.95 eV/cell
* DOS at the Fermi energy: 7.30 states/eV per cell



## TbGa4Au12 (GGA-PBE)

Data for a relaxed TbGa4Au12 crystal.

a = 7.7746 Å, b = 7.7746 Å, c = 7.7746 Å
α = 109.47°, β = 109.47°, γ = 109.47°
Sites, in units of the cell vectors:
Tb: 0.0000 0.0000 0.0000
Ga: 0.0000 0.0000 0.5000
Ga: 0.0000 0.5000 0.0000
Ga: 0.5000 0.0000 0.0000
Ga: 0.5000 0.5000 0.5000
Au: 0.1536 0.4956 0.3420
Au: 0.1536 0.8116 0.6580
Au: 0.1884 0.3420 0.8464
Au: 0.3420 0.1536 0.4956
Au: 0.3420 0.8464 0.1884
Au: 0.4956 0.3420 0.1536
Au: 0.5044 0.6580 0.8464
Au: 0.6580 0.1536 0.8116
Au: 0.6580 0.8464 0.5044
Au: 0.8116 0.6580 0.1536
Au: 0.8464 0.1884 0.3420
Au: 0.8464 0.5044 0.6580

* SG: Im-3 (204)
* energy of formation from the pure elements: -0.07 eV/atom
* final energy: -57.28 eV/cell
* DOS at the Fermi energy: 5.43 states/eV per cell



## BaRhW2 (GGA-PBE)

Data for a relaxed BaRhW2 crystal.

a = 2.8511 Å, b = 5.1271 Å, c = 11.3443 Å
α = 90.00°, β = 90.00°, γ = 90.00°
Sites, in units of the cell vectors:
Ba: 0.0000 0.0000 0.0000
Ba: 0.5000 0.5000 0.5000
Rh: 0.0000 0.0000 0.5000
Rh: 0.5000 0.5000 0.0000
W: 0.0000 0.5000 0.2083
W: 0.0000 0.5000 0.7917
W: 0.5000 0.0000 0.2917
W: 0.5000 0.0000 0.7083

* SG: Immm (71)
* energy of formation from the pure elements: 0.91 eV/atom
* final energy: -63.05 eV/cell
* DOS at the Fermi energy: 6.39 states/eV per cell



## Sc3CuCl (GGA-PBE)

Data for a relaxed Sc3CuCl crystal.

a = 4.7236 Å, b = 4.7236 Å, c = 4.7236 Å
α = 90.00°, β = 90.00°, γ = 90.00°
Sites, in units of the cell vectors:
Sc: 0.0000 0.0000 0.5000
Sc: 0.0000 0.5000 0.0000
Sc: 0.5000 0.0000 0.0000
Cu: 0.5000 0.5000 0.5000
Cl: 0.0000 0.0000 0.0000

* SG: Pm-3m (221)
* formation energy (no corrections): -0.20 eV/atom
* final energy: -25.94 eV/cell
* DOS at the Fermi energy: 3.69 states/eV per cell



## HfSI2O (GGA-PBE)

Data for a relaxed HfSI2O crystal.

a = 5.5972 Å, b = 5.5972 Å, c = 3.5714 Å
α = 90.00°, β = 90.00°, γ = 90.00°
Sites, in units of the cell vectors:
Hf: 0.0000 0.0000 0.0000
S: 0.5000 0.5000 0.5000
I: 0.0000 0.5000 0.5000
I: 0.5000 0.0000 0.5000
O: 0.5000 0.5000 0.0000

* SG: P4/mmm (123)
* formation energy (no corrections): 0.40 eV/atom
* final energy: -20.12 eV/cell
* DOS at the Fermi energy: 3.90 states/eV per cell



## Pr2GaRu (GGA-PBE)

Data for a relaxed Pr2GaRu crystal.

a = 3.9682 Å, b = 3.9682 Å, c = 29.3977 Å
α = 90.00°, β = 90.00°, γ = 120.00°
Sites, in units of the cell vectors:
Pr: 0.0000 0.0000 0.1111
Pr: 0.0000 0.0000 0.8889
Pr: 0.3333 0.6667 0.5555
Pr: 0.3333 0.6667 0.7778
Pr: 0.6667 0.3333 0.2222
Pr: 0.6667 0.3333 0.4445
Ga: 0.0000 0.0000 0.0000
Ga: 0.3333 0.6667 0.6667
Ga: 0.6667 0.3333 0.3333
Ru: 0.0000 0.0000 0.5000
Ru: 0.3333 0.6667 0.1667
Ru: 0.6667 0.3333 0.8333

* SG: R-3m (166)
* energy of formation from the pure elements: 0.19 eV/atom
* final energy: -63.32 eV/cell
* DOS at the Fermi energy: 12.27 states/eV per cell



## Li2YCo (GGA-PBE)

Data for a relaxed Li2YCo crystal.

a = 3.0267 Å, b = 3.0267 Å, c = 29.4500 Å
α = 90.00°, β = 90.00°, γ = 120.00°
Sites, in units of the cell vectors:
Li: 0.0000 0.0000 0.2356
Li: 0.0000 0.0000 0.7644
Li: 0.3333 0.6667 0.4310
Li: 0.3333 0.6667 0.9023
Li: 0.6667 0.3333 0.0977
Li: 0.6667 0.3333 0.5690
Y: 0.0000 0.0000 0.0000
Y: 0.3333 0.6667 0.6667
Y: 0.6667 0.3333 0.3333
Co: 0.0000 0.0000 0.5000
Co: 0.3333 0.6667 0.1667
Co: 0.6667 0.3333 0.8333

* SG: R-3m (166)
* energy of formation from the pure elements: 0.50 eV/atom
* final energy: -46.19 eV/cell
* DOS at the Fermi energy: 13.61 states/eV per cell